Dy2Er2Tm7 after structural relaxation. Source: the Alexandria database, functional PBE-GGA.

Cell and atoms, written as CIF:
```
data_Dy2Er2Tm7
_symmetry_space_group_name_H-M 'P -1'
_symmetry_Int_Tables_number 2
_cell_length_a 6.372
_cell_length_b 6.692
_cell_length_c 8.677
_cell_angle_alpha 109.73
_cell_angle_beta 99.00
_cell_angle_gamma 97.72
loop_
_symmetry_equiv_pos_as_xyz
'x,y,z'
'-x,-y,-z'
loop_
_atom_site_label
_atom_site_type_symbol
_atom_site_fract_x
_atom_site_fract_y
_atom_site_fract_z
Dy1 Dy 0.062 0.227 0.473
Er1 Er 0.150 0.495 0.213
Tm1 Tm 0.191 0.932 0.102
Tm2 Tm 0.322 0.246 0.863
Tm3 Tm 0.378 0.695 0.736
Tm4 Tm 0.500 0.000 0.500
```

E ... -4.417 eV/atom
Formation energy ... 0.095 eV per atom